1.
PuGe3Pt3, optimized geometry, DFT PBE; E_tot = -6.9125 eV/atom; volume = 22.8 Å³ per atom; density of states at the Fermi level = 40.49 states/eV/cell; crystal system = cubic
1.0
6.838 0.000 0.000
0.000 6.838 0.000
0.000 0.000 6.838
Pu Ge Pt
2 6 6
direct
0.000 0.000 0.000
0.500 0.500 0.500
0.000 0.250 0.500
0.000 0.750 0.500
0.250 0.500 0.000
0.500 0.000 0.250
0.500 0.000 0.750
0.750 0.500 0.000
0.000 0.500 0.250
0.000 0.500 0.750
0.250 0.000 0.500
0.500 0.250 0.000
0.500 0.750 0.000
0.750 0.000 0.500

=====

2.
Pu2Ge3Pt2, optimized geometry, DFT PBE; volume = 19.8 Å³ per atom; density of states at the Fermi level = 40.83 states/eV/cell; offset from the most stable computed form = 0.000 eV/atom; crystal system = orthorhombic
1.0
2.118 -9.168 0.000
2.118 9.168 0.000
0.000 0.000 7.138
Pu Ge Pt
4 6 4
direct
0.056 0.944 0.750
0.154 0.846 0.250
0.846 0.154 0.750
0.944 0.056 0.250
0.223 0.777 0.750
0.438 0.562 0.569
0.438 0.562 0.931
0.562 0.438 0.069
0.562 0.438 0.431
0.777 0.223 0.250
0.307 0.693 0.049
0.307 0.693 0.451
0.693 0.307 0.549
0.693 0.307 0.951

=====

Question: Look up the density of states at the Fermi level of the second one.
Answer: 40.83 states/eV/cell

=====

Copy entry 2 word for word.
Pu2Ge3Pt2, optimized geometry, DFT PBE; volume = 19.8 Å³ per atom; density of states at the Fermi level = 40.83 states/eV/cell; offset from the most stable computed form = 0.000 eV/atom; crystal system = orthorhombic
1.0
2.118 -9.168 0.000
2.118 9.168 0.000
0.000 0.000 7.138
Pu Ge Pt
4 6 4
direct
0.056 0.944 0.750
0.154 0.846 0.250
0.846 0.154 0.750
0.944 0.056 0.250
0.223 0.777 0.750
0.438 0.562 0.569
0.438 0.562 0.931
0.562 0.438 0.069
0.562 0.438 0.431
0.777 0.223 0.250
0.307 0.693 0.049
0.307 0.693 0.451
0.693 0.307 0.549
0.693 0.307 0.951